one) {
  "formula": "TbNdTl",
  "functional": "PBE",
  "state": "relaxed",
  "lattice": [[5.519, 0.001, 0.000], [-2.757, 4.780, 0.000], [0.000, 0.000, 6.790]],
  "species": ["Nd", "Nd", "Tl", "Tl", "Tb", "Tb"],
  "frac_coords": [[0.000, 0.500, 0.500], [0.000, 0.500, 0.000], [0.667, 0.833, 0.250], [0.333, 0.167, 0.750], [0.667, 0.833, 0.750], [0.333, 0.167, 0.250]]
}



two) {
  "formula": "TbNdTl",
  "functional": "PBE",
  "state": "relaxed",
  "lattice": [[6.235, 0.000, 0.000], [0.000, 6.235, 0.000], [-3.117, -3.117, 5.038]],
  "species": ["Nd", "Nd", "Tb", "Tb", "Tl", "Tl"],
  "frac_coords": [[0.320, 0.820, 0.640], [0.070, 0.070, 0.140], [0.685, 0.185, 0.370], [0.435, 0.435, 0.870], [0.745, 0.745, 0.490], [0.995, 0.495, 0.990]]
}



three) {
  "formula": "TbNdTl",
  "functional": "PBE",
  "state": "relaxed",
  "lattice": [[-4.497, -1.415, -2.378], [0.139, -3.035, -4.319], [-1.650, -5.010, 0.239]],
  "species": ["Tl", "Tb", "Nd"],
  "frac_coords": [[0.250, 0.250, 0.250], [0.000, 0.000, 0.000], [0.500, 0.500, 0.500]]
}



Pick one): it beats the second-best structure by 225 meV per atom.



one) {
  "formula": "TbNdTl",
  "functional": "PBE",
  "state": "relaxed",
  "lattice": [[-3.767, -1.153, 2.675], [-5.128, -1.668, -7.938], [2.465, -7.899, 0.067]],
  "species": ["Tl", "Tl", "Tl", "Tl", "Tb", "Tb", "Tb", "Tb", "Nd", "Nd", "Nd", "Nd"],
  "frac_coords": [[0.750, 0.125, 0.742], [0.750, 0.375, 0.242], [0.250, 0.875, 0.258], [0.250, 0.625, 0.758], [0.750, 0.430, 0.860], [0.250, 0.930, 0.640], [0.750, 0.070, 0.360], [0.250, 0.570, 0.140], [0.250, 0.331, 0.530], [0.250, 0.169, 0.030], [0.750, 0.669, 0.470], [0.750, 0.831, 0.970]]
}



two) {
  "formula": "TbNdTl",
  "functional": "PBE",
  "state": "relaxed",
  "lattice": [[3.677, 0.000, 0.000], [0.000, 3.677, 0.000], [-1.839, -1.839, 6.859]],
  "species": ["Nd", "Tb", "Tl"],
  "frac_coords": [[0.274, 0.274, 0.549], [0.963, 0.963, 0.927], [0.612, 0.612, 0.224]]
}



three) {
  "formula": "TbNdTl",
  "functional": "PBE",
  "state": "relaxed",
  "lattice": [[-2.975, 1.773, -1.509], [0.881, -2.469, -4.639], [-3.180, -2.234, 3.645]],
  "species": ["Tl", "Tb", "Nd"],
  "frac_coords": [[0.084, 0.000, 0.000], [0.225, 0.667, 0.333], [0.691, 0.333, 0.667]]
}



Pick one): it beats the second-best structure by 40 meV per atom.



one) {
  "formula": "Tb5NdTl6",
  "functional": "PBE",
  "state": "relaxed",
  "lattice": [[-1.877, 0.157, 6.399], [6.809, -5.510, 4.383], [6.609, 1.861, 3.018]],
  "species": ["Tb", "Tb", "Tb", "Tb", "Tb", "Tl", "Tl", "Tl", "Tl", "Tl", "Tl", "Nd"],
  "frac_coords": [[0.000, 0.665, 0.670], [0.500, 0.834, 0.333], [0.000, 0.335, 0.330], [0.500, 0.166, 0.667], [0.500, 0.500, 0.000], [0.254, 0.918, 0.660], [0.743, 0.748, 0.000], [0.746, 0.422, 0.660], [0.254, 0.578, 0.340], [0.257, 0.252, 0.000], [0.746, 0.082, 0.340], [0.000, 0.000, 0.000]]
}



two) {
  "formula": "Tb5NdTl6",
  "functional": "PBE",
  "state": "relaxed",
  "lattice": [[-4.328, -1.359, 2.943], [4.401, -7.988, -2.202], [4.513, 6.715, 4.751]],
  "species": ["Tb", "Tb", "Tb", "Tb", "Tb", "Nd", "Tl", "Tl", "Tl", "Tl", "Tl", "Tl"],
  "frac_coords": [[0.000, 0.333, 0.667], [0.500, 0.836, 0.164], [0.000, 0.667, 0.333], [0.500, 0.164, 0.836], [0.500, 0.500, 0.500], [0.000, 0.000, 0.000], [0.253, 0.422, 0.084], [0.243, 0.743, 0.743], [0.757, 0.257, 0.257], [0.747, 0.578, 0.916], [0.253, 0.084, 0.422], [0.747, 0.916, 0.578]]
}



Pick two): it beats the second-best structure by 101 meV per atom.



one) {
  "formula": "Tb3Nd2Tl4",
  "functional": "PBE",
  "state": "relaxed",
  "lattice": [[-2.164, 3.002, 3.858], [-4.226, -1.796, 2.731], [6.577, -4.504, 7.194]],
  "species": ["Tl", "Tl", "Tl", "Tl", "Nd", "Nd", "Tb", "Tb", "Tb"],
  "frac_coords": [[0.000, 0.000, 0.650], [0.666, 0.667, 0.898], [0.334, 0.333, 0.102], [0.000, 0.000, 0.350], [0.333, 0.334, 0.778], [0.667, 0.666, 0.222], [0.000, 0.000, 0.000], [0.333, 0.333, 0.425], [0.667, 0.667, 0.575]]
}



two) {
  "formula": "Tb3Nd2Tl4",
  "functional": "PBE",
  "state": "relaxed",
  "lattice": [[-3.411, -4.088, -4.899], [6.874, 1.408, -5.962], [5.605, -4.693, 5.355]],
  "species": ["Tb", "Tb", "Tb", "Tb", "Tb", "Tb", "Nd", "Nd", "Nd", "Nd", "Tl", "Tl", "Tl", "Tl", "Tl", "Tl", "Tl", "Tl"],
  "frac_coords": [[0.966, 0.250, 0.432], [0.034, 0.750, 0.568], [0.466, 0.250, 0.432], [0.500, 0.500, 0.000], [0.000, 0.000, 0.000], [0.534, 0.750, 0.568], [0.891, 0.424, 0.782], [0.391, 0.076, 0.782], [0.609, 0.924, 0.218], [0.109, 0.576, 0.218], [0.219, 0.750, 0.939], [0.314, 0.459, 0.629], [0.281, 0.250, 0.061], [0.719, 0.750, 0.939], [0.814, 0.041, 0.629], [0.186, 0.959, 0.371], [0.686, 0.541, 0.371], [0.781, 0.250, 0.061]]
}



Pick one): it beats the second-best structure by 58 meV per atom.



one) {
  "formula": "TbNdTl4",
  "functional": "PBE",
  "state": "relaxed",
  "lattice": [[-3.680, 4.529, 2.205], [-3.314, -0.930, 5.203], [1.540, 2.989, 5.255]],
  "species": ["Tl", "Tl", "Tl", "Tl", "Tb", "Nd"],
  "frac_coords": [[0.625, 0.625, 0.125], [0.625, 0.625, 0.625], [0.125, 0.625, 0.625], [0.625, 0.125, 0.625], [0.000, 0.000, 0.000], [0.250, 0.250, 0.250]]
}



two) {
  "formula": "TbNdTl4",
  "functional": "PBE",
  "state": "relaxed",
  "lattice": [[5.095, -0.001, -0.001], [-0.001, 5.104, -0.001], [0.005, 0.008, 7.657]],
  "species": ["Tl", "Tl", "Tl", "Tl", "Tb", "Nd"],
  "frac_coords": [[0.501, 0.998, 0.738], [0.502, 0.997, 0.258], [0.001, 0.497, 0.738], [0.001, 0.498, 0.259], [0.001, 0.997, 0.498], [0.501, 0.497, 0.998]]
}



Pick one): it beats the second-best structure by 78 meV per atom.



one) {
  "formula": "TbNd3Tl4",
  "functional": "PBE",
  "state": "relaxed",
  "lattice": [[3.726, 0.000, 0.000], [0.000, 7.311, -0.807], [-1.863, -2.636, 9.630]],
  "species": ["Nd", "Nd", "Nd", "Tb", "Tl", "Tl", "Tl", "Tl"],
  "frac_coords": [[0.784, 0.783, 0.567], [0.000, 0.500, 0.000], [0.216, 0.217, 0.433], [0.500, 0.000, 0.000], [0.374, 0.160, 0.748], [0.626, 0.840, 0.252], [0.374, 0.588, 0.748], [0.626, 0.412, 0.252]]
}



two) {
  "formula": "TbNd3Tl4",
  "functional": "PBE",
  "state": "relaxed",
  "lattice": [[-0.811, 2.442, -2.898], [1.352, -2.582, -2.554], [-14.231, -6.213, -1.254]],
  "species": ["Tl", "Tl", "Tl", "Tl", "Nd", "Nd", "Nd", "Tb"],
  "frac_coords": [[0.000, 0.000, 0.883], [0.000, 0.000, 0.627], [0.000, 0.000, 0.117], [0.000, 0.000, 0.373], [0.500, 0.500, 0.754], [0.500, 0.500, 0.246], [0.500, 0.500, 0.500], [0.500, 0.500, 0.000]]
}



Pick two): it beats the second-best structure by 141 meV per atom.